Compound: YNbTe2O8
Source: Alexandria via LeMat-Bulk
Functional: PBE
Structure: relaxed

## Properties
Uncorrected formation energy (meV per atom): -2059
Calculated volume (Å³/atom): 14.6

Cell: 7.7010 8.1350 22.3303 Å, 90.00 90.00 90.00°
Space group Cmce (No. 64)
Inequivalent atoms, fractional coordinates:
1 Y 0.2470 0.0000 0.0000 (multiplicity 8)
2 Nb 0.2500 0.0140 0.2500 (multiplicity 8)
3 Te 0.0000 0.1818 0.1292 (multiplicity 8)
4 Te 0.0000 0.1925 0.3945 (multiplicity 8)
5 O 0.0000 0.0148 0.5640 (multiplicity 8)
6 O 0.0000 0.0397 0.2710 (multiplicity 8)
7 O 0.0000 0.0680 0.0555 (multiplicity 8)
8 O 0.1864 0.0480 0.1605 (multiplicity 16)
9 O 0.1911 0.2426 0.9439 (multiplicity 16)
10 O 0.2500 0.2107 0.7500 (multiplicity 8)